w) DFT (PBE-GGA) results for a relaxed structure of Tb3DyOs.

Computed properties:
size of the total moment = 0.00 Bohr magnetons per cell
space-group type = C2/m (12)

extended XYZ file:
```
10
Lattice="5.893 -4.298 0.000 5.893 4.298 0.000 -5.536 0.000 5.890" Properties=species:S:1:pos:R:3 pbc="T T T"
Tb -1.301 0.000 2.071
Tb 1.831 1.675 1.200
Tb 1.831 -1.675 1.200
Tb 4.419 1.675 4.690
Tb 4.419 -1.675 4.690
Tb 7.552 0.000 3.819
Dy 1.125 0.000 4.382
Dy 5.126 0.000 1.509
Os -1.889 0.000 5.148
Os 8.139 0.000 0.742
```

---

x) DFT (PBE-GGA) results for a relaxed structure of Tb3DyOs.

Computed properties:
size of the total moment = 0.00 Bohr magnetons per cell
space-group type = Pmn2_1 (31)

extended XYZ file:
```
10
Lattice="7.713 0.000 0.000 0.000 6.448 0.000 0.000 0.000 6.256" Properties=species:S:1:pos:R:3 pbc="T T T"
Tb 0.000 1.023 0.000
Tb 1.928 2.056 3.146
Tb 1.929 4.392 0.018
Tb 3.857 5.426 3.128
Tb 5.786 2.056 3.146
Tb 5.784 4.392 0.018
Dy 0.000 5.422 3.166
Dy 3.857 1.026 0.038
Os 0.000 3.228 1.584
Os 3.857 3.220 4.712
```

---

y) DFT (PBE-GGA) results for a relaxed structure of Tb3DyOs.

Computed properties:
size of the total moment = 0.00 Bohr magnetons per cell
space-group type = Pm-3m (221)

extended XYZ file:
```
5
Lattice="5.444 0.000 0.000 0.000 5.444 0.000 0.000 0.000 5.444" Properties=species:S:1:pos:R:3 pbc="T T T"
Tb 0.000 0.000 2.722
Tb 0.000 2.722 0.000
Tb 2.722 0.000 0.000
Dy 2.722 2.722 2.722
Os 0.000 0.000 0.000
```

---

In terms of stability, w) leads; the second structure lies 95 meV/atom higher.

---

w) DFT (PBE-GGA) results for a relaxed structure of TbDy2Os.

Computed properties:
size of the total moment = 0.00 Bohr magnetons per cell
space-group type = P4/mmm (123)

extended XYZ file:
```
4
Lattice="3.397 0.000 0.000 0.000 3.397 0.000 0.000 0.000 9.254" Properties=species:S:1:pos:R:3 pbc="T T T"
Tb 0.000 0.000 0.000
Dy 1.699 1.699 2.962
Dy 1.699 1.699 6.291
Os 0.000 0.000 4.627
```

---

x) DFT (PBE-GGA) results for a relaxed structure of TbDy2Os.

Computed properties:
size of the total moment = 0.00 Bohr magnetons per cell
space-group type = R-3m (166)

extended XYZ file:
```
4
Lattice="1.722 0.994 10.881 -1.722 0.994 10.881 0.000 -1.988 10.881" Properties=species:S:1:pos:R:3 pbc="T T T"
Tb 0.000 0.000 0.000
Dy 0.000 0.000 3.448
Dy 0.000 0.000 29.194
Os 0.000 0.000 16.321
```

---

y) DFT (PBE-GGA) results for a relaxed structure of TbDy2Os.

Computed properties:
size of the total moment = 0.00 Bohr magnetons per cell
space-group type = Cmcm (63)

extended XYZ file:
```
8
Lattice="1.993 -5.951 0.000 1.993 5.951 0.000 0.000 0.000 9.015" Properties=species:S:1:pos:R:3 pbc="T T T"
Tb 1.993 5.053 6.762
Tb 1.993 -5.053 2.254
Dy 1.993 1.725 5.106
Dy 1.993 1.725 8.417
Dy 1.993 -1.725 0.598
Dy 1.993 -1.725 3.910
Os 1.993 2.881 2.254
Os 1.993 -2.881 6.762
```

---

In terms of stability, y) leads; the second structure lies 126 meV/atom higher.

---

w) DFT (PBE-GGA) results for a relaxed structure of Dy4TeOs.

Computed properties:
size of the total moment = 0.00 Bohr magnetons per cell
space-group type = C2/c (15)

extended XYZ file:
```
12
Lattice="4.638 -7.197 0.000 4.638 7.197 0.000 -3.963 0.000 5.553" Properties=species:S:1:pos:R:3 pbc="T T T"
Dy -0.183 4.091 4.723
Dy -0.987 0.595 4.058
Dy 0.995 -0.595 1.282
Dy 3.515 4.091 3.607
Dy 1.799 -4.091 1.946
Dy 4.318 0.595 4.272
Dy 6.300 -0.595 1.495
Dy 5.496 -4.091 0.831
Te 3.647 1.634 1.388
Te 1.666 -1.634 4.165
Os 1.666 5.902 4.165
Os 3.647 -5.902 1.388
```

---

x) DFT (PBE-GGA) results for a relaxed structure of Dy4TeOs.

Computed properties:
size of the total moment = 0.00 Bohr magnetons per cell
space-group type = Pnma (62)

extended XYZ file:
```
24
Lattice="8.053 0.000 0.000 0.000 4.064 0.000 0.000 0.000 19.481" Properties=species:S:1:pos:R:3 pbc="T T T"
Dy 8.049 1.016 1.309
Dy 0.004 3.048 18.172
Dy 0.393 1.016 15.322
Dy 1.105 1.016 6.953
Dy 1.124 1.016 10.624
Dy 2.902 3.048 0.883
Dy 2.921 3.048 16.694
Dy 3.633 3.048 5.582
Dy 4.023 1.016 8.431
Dy 4.030 3.048 11.050
Dy 4.420 1.016 13.900
Dy 5.132 1.016 2.788
Dy 5.151 1.016 18.598
Dy 6.929 3.048 8.857
Dy 6.948 3.048 12.528
Dy 7.660 3.048 4.159
Te 1.982 3.048 13.494
Te 2.045 1.016 3.753
Te 6.008 3.048 15.729
Te 6.071 1.016 5.988
Os 1.986 3.048 8.753
Os 2.041 1.016 18.493
Os 6.012 3.048 0.988
Os 6.067 1.016 10.729
```

---

In terms of stability, x) leads; the second structure lies 191 meV/atom higher.

---

w) DFT (PBE-GGA) results for a relaxed structure of Dy2TlOs.

Computed properties:
size of the total moment = 0.00 Bohr magnetons per cell
space-group type = P4/mmm (123)

extended XYZ file:
```
4
Lattice="5.029 0.000 0.000 0.000 5.029 0.000 0.000 0.000 3.634" Properties=species:S:1:pos:R:3 pbc="T T T"
Dy 0.000 2.514 0.000
Dy 2.514 0.000 0.000
Tl 0.000 0.000 1.817
Os 2.514 2.514 1.817
```

---

x) DFT (PBE-GGA) results for a relaxed structure of Dy2TlOs.

Computed properties:
size of the total moment = 0.00 Bohr magnetons per cell
space-group type = R-3m (166)

extended XYZ file:
```
4
Lattice="1.953 1.128 9.729 -1.953 1.128 9.729 0.000 -2.256 9.729" Properties=species:S:1:pos:R:3 pbc="T T T"
Dy 0.000 0.000 3.325
Dy 0.000 0.000 25.863
Tl 0.000 0.000 0.000
Os 0.000 0.000 14.594
```

---

In terms of stability, w) leads; the second structure lies 237 meV/atom higher.

---

w) DFT (PBE-GGA) results for a relaxed structure of DyTm2Os.

Computed properties:
size of the total moment = 0.11 Bohr magnetons per cell
space-group type = R-3m (166)

extended XYZ file:
```
4
Lattice="1.690 0.976 10.811 -1.690 0.976 10.811 0.000 -1.951 10.811" Properties=species:S:1:pos:R:3 pbc="T T T"
Dy 0.000 0.000 0.000
Tm 0.000 0.000 3.403
Tm 0.000 0.000 29.030
Os 0.000 0.000 16.217
```

---

x) DFT (PBE-GGA) results for a relaxed structure of DyTm2Os.

Computed properties:
size of the total moment = 0.00 Bohr magnetons per cell
space-group type = P4/mmm (123)

extended XYZ file:
```
4
Lattice="3.366 0.000 0.000 0.000 3.366 0.000 0.000 0.000 9.059" Properties=species:S:1:pos:R:3 pbc="T T T"
Dy 0.000 0.000 0.000
Tm 1.683 1.683 2.896
Tm 1.683 1.683 6.163
Os 0.000 0.000 4.529
```

---

In terms of stability, x) leads; the second structure lies 400 meV/atom higher.

---

w) DFT (PBE-GGA) results for a relaxed structure of DyTm2Os.

Computed properties:
size of the total moment = 0.00 Bohr magnetons per cell
space-group type = Cmcm (63)

extended XYZ file:
```
8
Lattice="1.978 -5.884 0.000 1.978 5.884 0.000 0.000 0.000 8.880" Properties=species:S:1:pos:R:3 pbc="T T T"
Dy 1.978 5.019 6.660
Dy 1.978 -5.019 2.220
Tm 1.978 1.716 5.020
Tm 1.978 1.716 8.301
Tm 1.978 -1.716 0.579
Tm 1.978 -1.716 3.861
Os 1.978 2.853 2.220
Os 1.978 -2.853 6.660
```

---

x) DFT (PBE-GGA) results for a relaxed structure of DyTm2Os.

Computed properties:
size of the total moment = 0.00 Bohr magnetons per cell
space-group type = Pnma (62)

extended XYZ file:
```
16
Lattice="7.383 0.000 0.000 0.000 8.909 0.000 0.000 0.000 6.253" Properties=species:S:1:pos:R:3 pbc="T T T"
Dy 0.281 2.227 0.789
Dy 3.410 6.682 3.916
Dy 3.973 2.227 2.337
Dy 7.101 6.682 5.464
Tm 1.286 0.556 4.155
Tm 1.286 3.898 4.155
Tm 2.406 5.011 1.028
Tm 2.406 8.353 1.028
Tm 4.977 0.556 5.225
Tm 4.977 3.898 5.225
Tm 6.097 5.011 2.098
Tm 6.097 8.353 2.098
Os 0.871 6.682 2.861
Os 2.820 2.227 5.988
Os 4.562 6.682 0.265
Os 6.511 2.227 3.392
```

---

In terms of stability, x) leads; the second structure lies 19 meV/atom higher.

---

w) DFT (PBE-GGA) results for a relaxed structure of DyTm3Os.

Computed properties:
size of the total moment = 0.66 Bohr magnetons per cell
space-group type = C2/m (12)

extended XYZ file:
```
10
Lattice="5.793 -4.261 0.000 5.793 4.261 0.000 -5.296 0.000 5.797" Properties=species:S:1:pos:R:3 pbc="T T T"
Dy -1.205 0.000 2.021
Dy 7.495 0.000 3.776
Tm 1.843 1.654 1.184
Tm 1.204 0.000 4.301
Tm 1.843 -1.654 1.184
Tm 4.447 1.654 4.613
Tm 5.086 0.000 1.496
Tm 4.447 -1.654 4.613
Os -1.742 0.000 5.093
Os 8.032 0.000 0.704
```

---

x) DFT (PBE-GGA) results for a relaxed structure of DyTm3Os.

Computed properties:
size of the total moment = 0.66 Bohr magnetons per cell
space-group type = C2/m (12)

extended XYZ file:
```
10
Lattice="8.562 -1.772 0.000 8.562 1.772 0.000 -2.598 0.000 9.100" Properties=species:S:1:pos:R:3 pbc="T T T"
Dy 2.500 0.000 2.816
Dy 12.026 0.000 6.285
Tm 0.911 0.000 7.926
Tm 5.688 0.000 4.170
Tm 6.402 0.000 7.504
Tm 8.124 0.000 1.596
Tm 8.838 0.000 4.930
Tm 13.615 0.000 1.174
Os 3.783 0.000 8.506
Os 10.744 0.000 0.594
```

---

In terms of stability, w) leads; the second structure lies 170 meV/atom higher.

---

w) DFT (PBE-GGA) results for a relaxed structure of DyVOs2.

Computed properties:
size of the total moment = 0.00 Bohr magnetons per cell
space-group type = Fm-3m (225)

extended XYZ file:
```
4
Lattice="0.000 3.208 3.208 3.208 0.000 3.208 3.208 3.208 0.000" Properties=species:S:1:pos:R:3 pbc="T T T"
Dy 0.000 0.000 0.000
V 3.208 3.208 3.208
Os 1.604 1.604 1.604
Os 4.812 4.812 4.812
```

---

x) DFT (PBE-GGA) results for a relaxed structure of DyVOs2.

Computed properties:
size of the total moment = 0.00 Bohr magnetons per cell
space-group type = P4/mmm (123)

extended XYZ file:
```
4
Lattice="3.096 0.000 0.000 0.000 3.096 0.000 0.000 0.000 6.964" Properties=species:S:1:pos:R:3 pbc="T T T"
Dy 0.000 0.000 0.000
V 0.000 0.000 3.482
Os 1.548 1.548 2.045
Os 1.548 1.548 4.918
```

---

In terms of stability, x) leads; the second structure lies 156 meV/atom higher.

---

w) DFT (PBE-GGA) results for a relaxed structure of DyYOs.

Computed properties:
size of the total moment = 0.00 Bohr magnetons per cell
space-group type = P2_1/c (14)

extended XYZ file:
```
12
Lattice="6.759 0.000 0.000 0.000 6.817 0.000 -5.379 0.000 6.627" Properties=species:S:1:pos:R:3 pbc="T T T"
Dy -0.033 1.173 1.986
Dy -2.723 2.235 5.300
Dy 4.102 4.581 1.327
Dy 1.413 5.643 4.641
Y 0.716 4.583 1.326
Y -1.974 5.641 4.639
Y 3.353 1.175 1.988
Y 0.663 2.233 5.302
Os -3.717 0.019 6.619
Os -1.027 3.389 3.305
Os 2.406 3.427 3.323
Os 5.096 6.798 0.009
```

---

x) DFT (PBE-GGA) results for a relaxed structure of DyYOs.

Computed properties:
size of the total moment = 0.00 Bohr magnetons per cell
space-group type = F-43m (216)

extended XYZ file:
```
3
Lattice="0.000 3.384 3.384 3.384 0.000 3.384 3.384 3.384 0.000" Properties=species:S:1:pos:R:3 pbc="T T T"
Dy 0.000 0.000 0.000
Y 3.384 3.384 3.384
Os 1.692 1.692 1.692
```

---

In terms of stability, x) leads; the second structure lies 93 meV/atom higher.

---

w) DFT (PBE-GGA) results for a relaxed structure of DyYOs.

Computed properties:
size of the total moment = 0.00 Bohr magnetons per cell
space-group type = P2/m (10)

extended XYZ file:
```
6
Lattice="6.783 0.000 0.000 0.000 3.366 0.000 -1.708 0.000 6.856" Properties=species:S:1:pos:R:3 pbc="T T T"
Dy 0.002 0.000 1.659
Dy 5.072 0.000 5.197
Y 1.684 0.000 5.188
Y 3.391 0.000 1.667
Os -0.027 1.683 6.854
Os 5.102 1.683 0.002
```

---

x) DFT (PBE-GGA) results for a relaxed structure of DyYOs.

Computed properties:
size of the total moment = 0.00 Bohr magnetons per cell
space-group type = I4mm (107)

extended XYZ file:
```
3
Lattice="-1.700 1.700 6.594 1.700 -1.700 6.594 1.700 1.700 -6.594" Properties=species:S:1:pos:R:3 pbc="T T T"
Dy 0.000 0.000 0.000
Y 0.000 0.000 9.875
Os 0.000 0.000 4.952
```

---

In terms of stability, x) leads; the second structure lies 41 meV/atom higher.

---

w) DFT (PBE-GGA) results for a relaxed structure of DyY2Os.

Computed properties:
size of the total moment = 0.00 Bohr magnetons per cell
space-group type = Pnma (62)

extended XYZ file:
```
16
Lattice="7.396 0.000 0.000 0.000 9.109 0.000 0.000 0.000 6.369" Properties=species:S:1:pos:R:3 pbc="T T T"
Dy 0.305 2.277 0.836
Dy 3.393 6.832 4.020
Dy 4.003 2.277 2.349
Dy 7.091 6.832 5.533
Y 1.289 0.577 4.261
Y 1.289 3.978 4.261
Y 2.409 5.131 1.076
Y 2.409 8.532 1.076
Y 4.987 0.577 5.292
Y 4.987 3.978 5.292
Y 6.107 5.131 2.108
Y 6.107 8.532 2.108
Os 0.866 6.832 2.962
Os 2.832 2.277 6.146
Os 4.563 6.832 0.223
Os 6.530 2.277 3.407
```

---

x) DFT (PBE-GGA) results for a relaxed structure of DyY2Os.

Computed properties:
size of the total moment = 0.00 Bohr magnetons per cell
space-group type = Cmcm (63)

extended XYZ file:
```
8
Lattice="1.987 -5.966 0.000 1.987 5.966 0.000 0.000 0.000 9.069" Properties=species:S:1:pos:R:3 pbc="T T T"
Dy 1.987 5.051 6.802
Dy 1.987 -5.051 2.267
Y 1.987 1.720 5.135
Y 1.987 1.720 8.469
Y 1.987 -1.720 0.600
Y 1.987 -1.720 3.934
Os 1.987 2.877 2.267
Os 1.987 -2.877 6.802
```

---

y) DFT (PBE-GGA) results for a relaxed structure of DyY2Os.

Computed properties:
size of the total moment = 0.00 Bohr magnetons per cell
space-group type = P4/mmm (123)

extended XYZ file:
```
4
Lattice="3.409 0.000 0.000 0.000 3.409 0.000 0.000 0.000 9.237" Properties=species:S:1:pos:R:3 pbc="T T T"
Dy 0.000 0.000 0.000
Y 1.704 1.704 2.950
Y 1.704 1.704 6.287
Os 0.000 0.000 4.619
```

---

In terms of stability, w) leads; the second structure lies 22 meV/atom higher.